Entry 1:
GGA-PBE AcPmEu2, relaxed; E_form = 0.06 eV/atom; SG = No. 166
1.0
-1.0005 2.7910 -2.4391
-3.6567 0.3560 -1.1142
-3.7653 8.7532 8.5390
Eu Pm Ac
2 1 1
direct
0.7474 0.7474 0.7578
0.2526 0.2526 0.2422
0.0000 0.0000 0.0000
0.5000 0.5000 0.5000

***

Entry 2:
GGA-PBE Er3Ni5Te12, relaxed; uncorrected formation energy = -47 kJ per mole of atoms; SG = No. 230
1.0
14.1009 0.0000 0.0000
-4.7003 13.2944 0.0000
-4.7003 -6.6472 11.5133
Te Ni Er
48 20 12
direct
0.8813 0.2957 0.4713
0.6756 0.2043 0.5856
0.0900 0.9144 0.1187
0.5287 0.2043 0.1187
0.2043 0.5287 0.6187
0.3813 0.9713 0.7957
0.2957 0.8813 0.9713
0.5856 0.7043 0.6756
0.9144 0.8244 0.7957
0.4100 0.3813 0.5856
0.5900 0.6187 0.4144
0.0856 0.9100 0.3813
0.1187 0.7043 0.5287
0.1187 0.4144 0.0900
0.8244 0.9144 0.2957
0.0856 0.1756 0.2043
0.5287 0.3244 0.9100
0.4144 0.2957 0.3244
0.3244 0.5287 0.4100
0.4713 0.6756 0.0900
0.3813 0.4100 0.0856
0.7957 0.3244 0.9144
0.9713 0.3813 0.2957
0.5856 0.8813 0.4100
0.9713 0.5900 0.1756
0.7043 0.1187 0.0287
0.2043 0.6756 0.0856
0.0287 0.4100 0.8244
0.1756 0.0900 0.9713
0.4713 0.7957 0.8813
0.9100 0.8244 0.5287
0.8813 0.5856 0.9100
0.6187 0.5900 0.9144
0.0900 0.1756 0.4713
0.3244 0.7957 0.4144
0.9100 0.0856 0.8813
0.4144 0.1187 0.5900
0.8244 0.9100 0.0287
0.9144 0.0900 0.6187
0.1756 0.0856 0.7043
0.0287 0.6187 0.7043
0.5900 0.9713 0.6756
0.7957 0.4713 0.3813
0.6756 0.4713 0.5900
0.6187 0.0287 0.2043
0.7043 0.5856 0.1756
0.4100 0.0287 0.3244
0.2957 0.4144 0.8244
0.8750 0.2500 0.6250
0.3750 0.1250 0.7500
0.1250 0.7500 0.3750
0.2500 0.8750 0.1250
0.5000 0.0000 0.0000
0.7500 0.1250 0.8750
0.7500 0.6250 0.3750
0.0000 0.0000 0.5000
0.1250 0.3750 0.2500
0.2500 0.3750 0.6250
0.5000 0.5000 0.5000
0.5000 0.0000 0.5000
0.3750 0.2500 0.1250
0.5000 0.5000 0.0000
0.0000 0.5000 0.5000
0.0000 0.5000 0.0000
0.0000 0.0000 0.0000
0.8750 0.6250 0.7500
0.6250 0.8750 0.2500
0.6250 0.7500 0.8750
0.6250 0.2500 0.3750
0.6250 0.3750 0.7500
0.3750 0.7500 0.6250
0.1250 0.8750 0.7500
0.1250 0.2500 0.8750
0.7500 0.3750 0.1250
0.8750 0.7500 0.1250
0.2500 0.1250 0.3750
0.2500 0.6250 0.8750
0.7500 0.8750 0.6250
0.3750 0.6250 0.2500
0.8750 0.1250 0.2500

***

Entry 3:
GGA-PBE PmPa2N, relaxed; uncorrected formation energy = -54 kJ per mole of atoms; SG = No. 166
1.0
3.4070 0.0000 0.0000
1.7035 2.9505 0.0000
1.7035 0.9835 9.0079
Pa Pm N
2 1 1
direct
0.7800 0.7800 0.6600
0.2200 0.2200 0.3400
0.0000 0.0000 0.0000
0.5000 0.5000 0.5000

***

Entry 4:
GGA-PBE KLiTa2, relaxed; E_form = 0.89 eV/atom; SG = No. 166
1.0
11.8810 -0.0069 -0.0040
11.5325 2.8564 -0.0040
11.5325 1.4036 2.4878
Ta Li K
2 1 1
direct
0.4900 0.4900 0.4900
0.0100 0.0100 0.0100
0.7500 0.7500 0.7500
0.2500 0.2500 0.2500

***

Entry 5:
GGA-PBE K4ZnSb, relaxed; uncorrected formation energy = 20 kJ per mole of atoms; SG = No. 216
1.0
0.0000 5.0147 5.0147
5.0147 0.0000 5.0147
5.0147 5.0147 0.0000
K Sb Zn
4 1 1
direct
0.3765 0.3765 0.8706
0.3765 0.8706 0.3765
0.8706 0.3765 0.3765
0.3765 0.3765 0.3765
0.7500 0.7500 0.7500
0.0000 0.0000 0.0000

***

Entry 6:
GGA-PBE Sb2Pd2Pt, relaxed; uncorrected formation energy = -19 kJ per mole of atoms; SG = No. 127
1.0
-2.1320 -3.0143 6.3004
-0.7201 -6.4574 -3.3332
3.4077 -0.7821 0.7790
Sb Pt Pd
4 2 4
direct
0.6710 0.8290 0.5000
0.3290 0.1710 0.5000
0.1710 0.6710 0.5000
0.8290 0.3290 0.5000
0.0000 0.0000 0.0000
0.5000 0.5000 0.0000
0.1347 0.3653 0.0000
0.8653 0.6347 0.0000
0.6347 0.1347 0.0000
0.3653 0.8653 0.0000

***

Entry 7:
GGA-PBE TaNbV2, relaxed; E_form = 0.61 eV/atom; SG = No. 122
1.0
7.0119 0.0000 0.0000
0.0000 7.0119 0.0000
3.5060 3.5060 2.7410
V Ta Nb
4 2 2
direct
0.1280 0.6250 0.2500
0.8750 0.8720 0.7500
0.3750 0.3780 0.7500
0.6220 0.1250 0.2500
0.0000 0.0000 0.0000
0.7500 0.2500 0.5000
0.5000 0.5000 0.0000
0.2500 0.7500 0.5000

***

Entry 8:
GGA-PBE ThMgH8Rh2, relaxed; calculated total energy = -53.05 eV/cell; SG = No. 148
1.0
4.7556 0.0000 0.0000
2.3778 4.1185 0.0000
2.3778 1.3728 5.6911
Rh H Mg Th
2 8 1 1
direct
0.7276 0.7276 0.8173
0.2724 0.2724 0.1827
0.1770 0.1770 0.4690
0.8230 0.8230 0.5310
0.3178 0.8993 0.1766
0.6063 0.3178 0.1766
0.1007 0.3937 0.8234
0.3937 0.6822 0.8234
0.8993 0.6063 0.1766
0.6822 0.1007 0.8234
0.0000 0.0000 0.0000
0.5000 0.5000 0.5000

***

Entry 9:
GGA-PBE CdTcPt, relaxed; E_form = 0.02 eV/atom; SG = No. 107
1.0
-0.9608 0.0423 6.4600
-3.2401 -1.3428 5.5096
1.1549 -2.4555 0.8083
Tc Cd Pt
1 1 1
direct
0.6781 0.6781 0.3219
0.0007 0.0007 0.9993
0.3211 0.3211 0.6789

***

Entry 10:
GGA-PBE RbGaIrO2, relaxed; uncorrected formation energy = 28 kJ per mole of atoms; SG = No. 123
1.0
4.1280 0.0000 0.0000
0.0000 4.1280 0.0000
0.0000 0.0000 4.9239
Rb O Ir Ga
1 2 1 1
direct
0.5000 0.5000 0.5000
0.5000 0.0000 0.0000
0.0000 0.5000 0.0000
0.0000 0.0000 0.5000
0.0000 0.0000 0.0000

***

Entry 11:
GGA-PBE NaMgNb, relaxed; E_form = 0.39 eV/atom; SG = No. 1
1.0
9.8043 0.2583 0.0318
-0.0780 2.8556 -0.0677
-0.0402 -2.0490 4.9211
Na Nb Mg
2 2 2
direct
0.3905 0.9242 0.9150
0.5687 0.8774 0.4198
0.8758 0.4865 0.4184
0.7820 0.5266 0.9183
0.0493 0.0529 0.9143
0.1786 0.0103 0.4124

***

Entry 12:
GGA-PBE BaLa2Br8, relaxed; uncorrected formation energy = -194 kJ per mole of atoms; SG = No. 13
1.0
-2.1202 6.2075 4.1483
2.0148 -3.8263 6.7554
15.1103 2.3817 4.1588
Br La Ba
16 4 2
direct
0.4053 0.2161 0.4221
0.1540 0.4785 0.6093
0.9579 0.9353 0.1285
0.9579 0.0647 0.3715
0.5947 0.2161 0.9221
0.6503 0.2525 0.6600
0.8460 0.4785 0.1093
0.0421 0.9353 0.6285
0.3497 0.2525 0.1600
0.1540 0.5215 0.8907
0.4053 0.7839 0.0779
0.5947 0.7839 0.5779
0.8460 0.5215 0.3907
0.6503 0.7475 0.8400
0.0421 0.0647 0.8715
0.3497 0.7475 0.3400
0.2453 0.8383 0.4889
0.2453 0.1617 0.0111
0.7547 0.1617 0.5111
0.7547 0.8383 0.9889
0.1404 0.5000 0.2500
0.8596 0.5000 0.7500